! GGA-PBE K2TlAgH, relaxed; values from VASP
&SYSTEM
  ibrav = 0, nat = 5, ntyp = 4
/
ATOMIC_SPECIES
K 39.10 K.upf
Tl 204.38 Tl.upf
Ag 107.87 Ag.upf
H 1.01 H.upf
ATOMIC_POSITIONS crystal
K 0.000 0.500 0.000
K 0.500 0.000 0.000
Tl 0.000 0.000 0.500
Ag 0.500 0.500 0.500
H 0.000 0.000 0.000
CELL_PARAMETERS angstrom
5.265 0.000 0.000
0.000 5.265 0.000
0.000 0.000 5.123
! E_tot (eV per atom): -2.103
! Space-group type: No. 123
! V (Å³ per atom): 28.40



! GGA-PBE KAgHW2, relaxed; values from VASP
&SYSTEM
  ibrav = 0, nat = 5, ntyp = 4
/
ATOMIC_SPECIES
K 39.10 K.upf
Ag 107.87 Ag.upf
H 1.01 H.upf
W 183.84 W.upf
ATOMIC_POSITIONS crystal
K 0.000 0.000 0.000
Ag 0.500 0.500 0.000
H 0.000 0.000 0.500
W 0.000 0.500 0.500
W 0.500 0.000 0.500
CELL_PARAMETERS angstrom
3.931 0.000 0.000
0.000 3.931 0.000
0.000 0.000 5.445
! E_tot (eV per atom): -5.497
! Space-group type: No. 123
! V (Å³ per atom): 16.82



! GGA-PBE La2AgH, relaxed; values from VASP
&SYSTEM
  ibrav = 0, nat = 4, ntyp = 3
/
ATOMIC_SPECIES
La 138.91 La.upf
Ag 107.87 Ag.upf
H 1.01 H.upf
ATOMIC_POSITIONS crystal
La 0.000 0.000 0.205
La 0.000 0.000 0.795
Ag 0.500 0.500 0.500
H 0.500 0.500 0.000
CELL_PARAMETERS angstrom
3.463 0.000 0.000
0.000 3.463 0.000
0.000 0.000 7.310
! Space-group type: No. 123
! Distance to the lowest polymorph of the same formula (meV/atom): 170
! V (Å³ per atom): 21.91



! GGA-PBE LaAgH, relaxed; values from VASP
&SYSTEM
  ibrav = 0, nat = 6, ntyp = 3
/
ATOMIC_SPECIES
La 138.91 La.upf
Ag 107.87 Ag.upf
H 1.01 H.upf
ATOMIC_POSITIONS crystal
La 0.182 0.250 0.315
La 0.818 0.750 0.685
Ag 0.396 0.250 0.871
Ag 0.604 0.750 0.129
H 0.248 0.750 0.493
H 0.752 0.250 0.507
CELL_PARAMETERS angstrom
4.132 0.000 0.000
0.000 4.320 0.000
-1.540 0.000 6.671
! Space-group type: No. 11
! Distance to the lowest polymorph of the same formula (meV/atom): 0
! V (Å³ per atom): 19.85



! GGA-PBE LaAg2H, relaxed; values from VASP
&SYSTEM
  ibrav = 0, nat = 4, ntyp = 3
/
ATOMIC_SPECIES
La 138.91 La.upf
Ag 107.87 Ag.upf
H 1.01 H.upf
ATOMIC_POSITIONS crystal
La 0.000 0.000 0.000
Ag 0.250 0.250 0.250
Ag 0.750 0.750 0.750
H 0.500 0.500 0.500
CELL_PARAMETERS angstrom
0.000 3.532 3.532
3.532 0.000 3.532
3.532 3.532 0.000
! Space-group type: No. 225
! Distance to the lowest polymorph of the same formula (meV/atom): 223
! V (Å³ per atom): 22.02



! GGA-PBE La3AgH, relaxed; values from VASP
&SYSTEM
  ibrav = 0, nat = 5, ntyp = 3
/
ATOMIC_SPECIES
La 138.91 La.upf
Ag 107.87 Ag.upf
H 1.01 H.upf
ATOMIC_POSITIONS crystal
La 0.000 0.000 0.500
La 0.000 0.500 0.000
La 0.500 0.000 0.000
Ag 0.500 0.500 0.500
H 0.000 0.000 0.000
CELL_PARAMETERS angstrom
5.062 0.000 0.000
0.000 5.062 0.000
0.000 0.000 5.062
! Space-group type: No. 221
! Distance to the lowest polymorph of the same formula (meV/atom): 0
! V (Å³ per atom): 25.94



! GGA-PBE La2AgH, relaxed; values from VASP
&SYSTEM
  ibrav = 0, nat = 4, ntyp = 3
/
ATOMIC_SPECIES
La 138.91 La.upf
Ag 107.87 Ag.upf
H 1.01 H.upf
ATOMIC_POSITIONS crystal
La 0.000 0.000 0.000
La 0.202 0.202 0.202
Ag 0.435 0.435 0.435
H 0.600 0.600 0.600
CELL_PARAMETERS angstrom
1.932 1.116 7.526
-1.932 1.116 7.526
0.000 -2.231 7.526
! Space-group type: No. 160
! Distance to the lowest polymorph of the same formula (meV/atom): 36
! V (Å³ per atom): 24.34



! GGA-PBE La2AgH, relaxed; values from VASP
&SYSTEM
  ibrav = 0, nat = 8, ntyp = 3
/
ATOMIC_SPECIES
La 138.91 La.upf
Ag 107.87 Ag.upf
H 1.01 H.upf
ATOMIC_POSITIONS crystal
La 0.042 0.625 0.917
La 0.375 0.292 0.417
La 0.708 0.125 0.083
La 0.875 0.958 0.583
Ag 0.250 0.750 0.500
Ag 0.500 0.500 0.000
H 0.000 0.000 0.000
H 0.750 0.250 0.500
CELL_PARAMETERS angstrom
-3.598 3.598 3.794
3.598 -3.598 3.794
3.598 3.598 -3.794
! Space-group type: No. 122
! Distance to the lowest polymorph of the same formula (meV/atom): 0
! V (Å³ per atom): 24.56



! GGA-PBE LaAg2H, relaxed; values from VASP
&SYSTEM
  ibrav = 0, nat = 8, ntyp = 3
/
ATOMIC_SPECIES
La 138.91 La.upf
Ag 107.87 Ag.upf
H 1.01 H.upf
ATOMIC_POSITIONS crystal
La 0.000 0.000 0.000
La 0.750 0.250 0.500
Ag 0.373 0.125 0.748
Ag 0.375 0.627 0.752
Ag 0.377 0.625 0.252
Ag 0.875 0.623 0.248
H 0.250 0.750 0.500
H 0.500 0.500 0.000
CELL_PARAMETERS angstrom
-3.023 3.023 4.275
3.023 -3.023 4.275
3.023 3.023 -4.275
! Space-group type: No. 122
! Distance to the lowest polymorph of the same formula (meV/atom): 0
! V (Å³ per atom): 19.53



! GGA-PBE La2AgH, relaxed; values from VASP
&SYSTEM
  ibrav = 0, nat = 4, ntyp = 3
/
ATOMIC_SPECIES
La 138.91 La.upf
Ag 107.87 Ag.upf
H 1.01 H.upf
ATOMIC_POSITIONS crystal
La 0.231 0.231 0.231
La 0.769 0.769 0.769
Ag 0.000 0.000 0.000
H 0.500 0.500 0.500
CELL_PARAMETERS angstrom
1.908 1.101 7.705
-1.908 1.101 7.705
0.000 -2.203 7.705
! Space-group type: No. 166
! Distance to the lowest polymorph of the same formula (meV/atom): 66
! V (Å³ per atom): 24.29



! GGA-PBE LaAg3H, relaxed; values from VASP
&SYSTEM
  ibrav = 0, nat = 5, ntyp = 3
/
ATOMIC_SPECIES
La 138.91 La.upf
Ag 107.87 Ag.upf
H 1.01 H.upf
ATOMIC_POSITIONS crystal
La 0.000 0.000 0.000
Ag 0.000 0.000 0.500
Ag 0.000 0.500 0.000
Ag 0.500 0.000 0.000
H 0.500 0.500 0.500
CELL_PARAMETERS angstrom
6.038 0.000 0.000
0.000 6.038 0.000
0.000 0.000 6.038
! Space-group type: No. 221
! Distance to the lowest polymorph of the same formula (meV/atom): 1016
! V (Å³ per atom): 44.04



! GGA-PBE La2AgH2, relaxed; values from VASP
&SYSTEM
  ibrav = 0, nat = 10, ntyp = 3
/
ATOMIC_SPECIES
La 138.91 La.upf
Ag 107.87 Ag.upf
H 1.01 H.upf
ATOMIC_POSITIONS crystal
La 0.171 0.329 0.000
La 0.329 0.829 0.000
La 0.671 0.171 0.000
La 0.829 0.671 0.000
Ag 0.000 0.000 0.500
Ag 0.500 0.500 0.500
H 0.118 0.618 0.500
H 0.382 0.118 0.500
H 0.618 0.882 0.500
H 0.882 0.382 0.500
CELL_PARAMETERS angstrom
7.392 0.000 0.000
0.000 7.392 0.000
0.000 0.000 3.362
! Space-group type: No. 127
! Distance to the lowest polymorph of the same formula (meV/atom): 265
! V (Å³ per atom): 18.37



! GGA-PBE La2AgH2, relaxed; values from VASP
&SYSTEM
  ibrav = 0, nat = 5, ntyp = 3
/
ATOMIC_SPECIES
La 138.91 La.upf
Ag 107.87 Ag.upf
H 1.01 H.upf
ATOMIC_POSITIONS crystal
La 0.146 0.146 0.000
La 0.854 0.854 0.000
Ag 0.500 0.500 0.000
H 0.250 0.750 0.500
H 0.750 0.250 0.500
CELL_PARAMETERS angstrom
-1.951 1.951 6.641
1.951 -1.951 6.641
1.951 1.951 -6.641
! Space-group type: No. 139
! Distance to the lowest polymorph of the same formula (meV/atom): 0
! V (Å³ per atom): 20.22